Record 1
ZrSi2Pb | PBE | relaxed

Cell: 3.3754 3.8858 6.7864 Å, 90.00 104.28 90.00°
Element x y z (fractional)
1 Zr 0.0000 0.0000 0.0000
2 Si 0.4276 0.5000 0.8192
3 Si 0.5724 0.5000 0.1808
4 Pb 0.0000 0.0000 0.5000

***

Record 2
ZrSi2Pb | PBE | relaxed

Cell: 7.8899 7.8899 7.8899 Å, 26.75 26.75 26.75°
Element x y z (fractional)
1 Zr 0.0000 0.0000 0.0000
2 Si 0.4545 0.4545 0.4545
3 Si 0.7418 0.7418 0.7418
4 Pb 0.2287 0.2287 0.2287

***

Record 3
ZrSiPb3 | PBE | relaxed

Cell: 5.3020 5.3020 5.3020 Å, 90.00 90.00 90.00°
Element x y z (fractional)
1 Zr 0.0000 0.0000 0.0000
2 Si 0.5000 0.5000 0.5000
3 Pb 0.0000 0.5000 0.5000
4 Pb 0.5000 0.0000 0.5000
5 Pb 0.5000 0.5000 0.0000

***

Record 4
ZrSiPb3 | PBE | relaxed

Cell: 5.6407 5.6407 5.6407 Å, 90.00 90.00 90.00°
Element x y z (fractional)
1 Zr 0.0000 0.0000 0.0000
2 Si 0.5000 0.5000 0.5000
3 Pb 0.0000 0.0000 0.5000
4 Pb 0.0000 0.5000 0.0000
5 Pb 0.5000 0.0000 0.0000

***

Record 5
ZrSi3Pb | PBE | relaxed

Cell: 5.1059 5.1059 5.1059 Å, 90.00 90.00 90.00°
Element x y z (fractional)
1 Zr 0.0000 0.0000 0.0000
2 Si 0.0000 0.5000 0.5000
3 Si 0.5000 0.0000 0.5000
4 Si 0.5000 0.5000 0.0000
5 Pb 0.5000 0.5000 0.5000

***

Record 6
ZrSi2Pb | PBE | relaxed

Cell: 5.0532 5.0532 5.8342 Å, 111.99 111.99 41.05°
Element x y z (fractional)
1 Zr 0.0000 0.0000 0.0000
2 Si 0.2587 0.2587 0.8649
3 Si 0.7413 0.7413 0.1351
4 Pb 0.5000 0.5000 0.5000

***

Record 7
ZrSiPb | PBE | relaxed

Cell: 4.7781 4.7781 4.7781 Å, 60.00 60.00 60.00°
Element x y z (fractional)
1 Zr 0.0000 0.0000 0.0000
2 Si 0.2500 0.2500 0.2500
3 Pb 0.7500 0.7500 0.7500

***

Record 8
Zr5Si2Pb2 | PBE | relaxed

Cell: 8.2179 8.2179 7.2183 Å, 90.00 90.00 52.88°
Element x y z (fractional)
1 Zr 0.0000 0.0000 0.0000
2 Zr 0.0527 0.7104 0.6734
3 Zr 0.2104 0.5527 0.1734
4 Zr 0.2896 0.9473 0.6734
5 Zr 0.4473 0.7896 0.1734
6 Zr 0.5000 0.5000 0.5000
7 Zr 0.5527 0.2104 0.8266
8 Zr 0.7104 0.0527 0.3266
9 Zr 0.7896 0.4473 0.8266
10 Zr 0.9473 0.2896 0.3266
11 Si 0.1229 0.8771 0.3773
12 Si 0.3771 0.6229 0.8773
13 Si 0.6229 0.3771 0.1227
14 Si 0.8771 0.1229 0.6227
15 Pb 0.2182 0.2182 0.0000
16 Pb 0.2818 0.2818 0.5000
17 Pb 0.7182 0.7182 0.5000
18 Pb 0.7818 0.7818 0.0000

***

Record 9
ZrSiPb | PBE | relaxed

Cell: 7.6293 7.6293 7.6293 Å, 156.60 156.60 33.34°
Element x y z (fractional)
1 Zr 0.0000 0.0000 0.0000
2 Si 0.3757 0.3757 0.0000
3 Pb 0.6791 0.6791 0.0000

***

Record 10
ZrSiPb2 | PBE | relaxed

Cell: 5.1858 5.1858 5.1858 Å, 60.00 60.00 60.00°
Element x y z (fractional)
1 Zr 0.0000 0.0000 0.0000
2 Si 0.7500 0.7500 0.7500
3 Pb 0.2500 0.2500 0.2500
4 Pb 0.5000 0.5000 0.5000

***

Record 11
ZrSiPb2 | PBE | relaxed

Cell: 3.5403 3.8134 7.9479 Å, 90.00 102.53 90.00°
Element x y z (fractional)
1 Zr 0.0000 0.0000 0.0000
2 Si 0.4563 0.5000 0.9087
3 Pb 0.3151 0.0000 0.6254
4 Pb 0.6364 0.5000 0.2815

***

Record 12
ZrSiPb2 | PBE | relaxed

Cell: 5.8907 5.8907 5.2923 Å, 94.88 94.88 31.89°
Element x y z (fractional)
1 Zr 0.0000 0.0000 0.0000
2 Si 0.5000 0.5000 0.5000
3 Pb 0.2597 0.2597 0.7526
4 Pb 0.7403 0.7403 0.2474

***

In order of appearance, final energy = -23.53, -22.99, -20.86, -20.90, -20.74, -23.21, -16.53, -66.22, -17.36, -19.88, -21.86, -20.60 eV per formula unit.